An optimized crystal structure of Rb2CrClF6. Source: Alexandria, functional GGA+U.

Calculated values
final energy = -4.475 eV per atom
magnetization = 1.00 μB/f.u.
V = 201.97 Å³/f.u.
symmetry = I4/mmm, No. 139
calculated density = 3.06 g cm⁻³

Cell: 6.4155 6.4155 6.6827 Å, 61.31 61.31 90.00°
Positions (direct):
Cr 0.0000 0.0000 0.0000
F 0.1927 0.1927 0.6147
F 0.8073 0.8073 0.3853
F 0.2036 0.2036 0.0000
F 0.7964 0.7964 0.0000
F 0.7964 0.2036 0.0000
F 0.2036 0.7964 0.0000
Rb 0.7500 0.2500 0.5000
Rb 0.2500 0.7500 0.5000
Cl 0.5000 0.5000 0.0000